SrFeTc4: optimized geometry, PBE-GGA.

Values from the calculation:
E_form: 662 meV/atom
electronic total energy: -7.939 eV per atom
total moment: 3.3 μB/f.u.

Geometry as POSCAR:
```
SrFeTc4
1.0
0.0000 3.7562 3.7562
3.7562 0.0000 3.7562
3.7562 3.7562 0.0000
Sr Fe Tc
1 1 4
Direct
0.0000 0.0000 0.0000
0.7500 0.7500 0.7500
0.8725 0.3758 0.3758
0.3758 0.3758 0.8725
0.3758 0.8725 0.3758
0.3758 0.3758 0.3758
```